No. 1
The following is a DFT calculation (PBE) of a relaxed La2Tb2Pm crystal.

Cell and atoms, written as extended XYZ:
```
5
Lattice="5.504 0.000 0.000 0.000 3.571 0.000 -2.739 0.000 8.764" Properties=species:S:1:pos:R:3 pbc="T T T"
La 0.006 0.000 3.467
La 2.759 0.000 5.297
Tb 0.011 1.785 6.993
Tb 2.754 1.785 1.771
Pm 0.000 0.000 0.000
```

Computed properties:
- uncorrected energy (eV per atom) = -4.71
- distance to the lowest polymorph of the same formula (meV/atom) = 49
- formation energy from the elements (eV/atom) = 0.0651
- size of the total moment (μB per formula unit) = 0.00

---

No. 2
The following is a DFT calculation (PBE) of a relaxed La2Tb3Pm7 crystal.

Cell and atoms, written as extended XYZ:
```
12
Lattice="2.928 -19.383 0.000 2.928 19.383 0.000 0.000 0.000 3.666" Properties=species:S:1:pos:R:3 pbc="T T T"
La 2.928 13.629 0.000
La 2.928 -13.629 0.000
Tb 2.928 7.217 1.833
Tb 2.928 0.000 1.833
Tb 2.928 -7.217 1.833
Pm 0.000 0.000 0.000
Pm 2.928 16.619 1.833
Pm 2.928 10.417 0.000
Pm 2.928 3.467 0.000
Pm 2.928 -3.467 0.000
Pm 2.928 -10.417 0.000
Pm 2.928 -16.619 1.833
```

Computed properties:
- uncorrected energy (eV per atom) = -4.64
- distance to the lowest polymorph of the same formula (meV/atom) = 45
- formation energy from the elements (eV/atom) = 0.1133
- size of the total moment (μB per formula unit) = 0.00

---

No. 3
The following is a DFT calculation (PBE) of a relaxed La3TbPm5 crystal.

Cell and atoms, written as extended XYZ:
```
18
Lattice="6.181 -4.262 0.000 6.181 4.262 0.000 -2.716 0.000 12.683" Properties=species:S:1:pos:R:3 pbc="T T T"
La 0.000 0.000 0.000
La -1.358 0.000 6.341
La 1.905 0.000 6.768
La 2.772 0.000 9.996
La 6.874 0.000 2.687
La 7.741 0.000 5.915
Tb 0.977 0.000 3.345
Tb 8.669 0.000 9.338
Pm 3.868 2.622 2.845
Pm 3.157 0.000 0.411
Pm 6.181 1.565 0.000
Pm 5.778 2.622 9.838
Pm 4.407 0.000 4.776
Pm 5.239 0.000 7.906
Pm 3.868 -2.622 2.845
Pm 6.181 -1.565 0.000
Pm 6.489 0.000 12.272
Pm 5.778 -2.622 9.838
```

Computed properties:
- uncorrected energy (eV per atom) = -4.40
- formation energy from the elements (eV/atom) = 0.3929
- size of the total moment (μB per formula unit) = 0.00